This record from Alexandria via LeMat-Bulk describes crystalline PrGdBr2 at its relaxed geometry. The functional is PBE.

Computed properties:
The total energy comes out at -6.6362 eV/atom. As for the density: 6.0 g/cm3. The raw formation energy comes out at -105 kJ/mol of atoms.

Lattice parameters (Å, degrees): 3.7757 3.7757 30.5469 90.00 90.00 120.00
Space group R-3m (No. 166, hexagonal axes)
Inequivalent atoms, fractional coordinates:
Pr (0.0000, 0.0000, 0.0000) (multiplicity 3)
Gd (0.0000, 0.0000, 0.5000) (multiplicity 3)
Br (0.0000, 0.0000, 0.4049) (multiplicity 6)

---

This record from Alexandria via LeMat-Bulk describes crystalline PrGdBr at its relaxed geometry. The functional is PBE.

Computed properties:
The total energy comes out at -7.6126 eV/atom. As for the density: 6.6 g/cm3. The raw formation energy comes out at -74 kJ/mol of atoms.

Lattice parameters (Å, degrees): 3.8225 3.8225 7.5072 90.00 90.00 120.00
Space group P3m1 (No. 156)
Inequivalent atoms, fractional coordinates:
Pr (0.0000, 0.0000, 0.0000) (multiplicity 1)
Gd (0.3333, 0.6667, 0.6300) (multiplicity 1)
Br (0.6667, 0.3333, 0.3268) (multiplicity 1)

---

This record from Alexandria via LeMat-Bulk describes crystalline PrGdSnBr at its relaxed geometry. The functional is PBE.

Computed properties:
The total energy comes out at -7.0105 eV/atom. As for the density: 7.3 g/cm3. The raw formation energy comes out at -85 kJ/mol of atoms.

Lattice parameters (Å, degrees): 7.679 7.679 7.679 90.00 90.00 90.00
Space group F-43m (No. 216)
Inequivalent atoms, fractional coordinates:
Pr (0.000, 0.000, 0.000) (multiplicity 4)
Gd (0.000, 0.000, 0.500) (multiplicity 4)
Sn (0.250, 0.250, 0.250) (multiplicity 4)
Br (0.250, 0.250, 0.750) (multiplicity 4)

---

This record from Alexandria via LeMat-Bulk describes crystalline Gd2PtBr at its relaxed geometry. The functional is PBE.

Computed properties:
The total energy comes out at -10.2493 eV/atom. As for the density: 8.7 g/cm3. The raw formation energy comes out at -124 kJ/mol of atoms.

Lattice parameters (Å, degrees): 4.1157 4.1157 22.8906 90.00 90.00 120.00
Space group R-3m (No. 166, hexagonal axes)
Inequivalent atoms, fractional coordinates:
Gd (0.0000, 0.0000, 0.2332) (multiplicity 6)
Pt (0.0000, 0.0000, 0.5000) (multiplicity 3)
Br (0.0000, 0.0000, 0.0000) (multiplicity 3)

---

This record from Alexandria via LeMat-Bulk describes crystalline Gd2PuBr at its relaxed geometry. The functional is PBE.

Computed properties:
The total energy comes out at -11.4980 eV/atom. As for the density: 9.1 g/cm3. The raw formation energy comes out at -44 kJ/mol of atoms.

Lattice parameters (Å, degrees): 3.6538 3.6538 30.3512 90.00 90.00 120.00
Space group R-3m (No. 166, hexagonal axes)
Inequivalent atoms, fractional coordinates:
Gd (0.0000, 0.0000, 0.2440) (multiplicity 6)
Pu (0.0000, 0.0000, 0.0000) (multiplicity 3)
Br (0.0000, 0.0000, 0.5000) (multiplicity 3)

---

This record from Alexandria via LeMat-Bulk describes crystalline RbGdBr2 at its relaxed geometry. The functional is PBE.

Computed properties:
The total energy comes out at -5.7679 eV/atom. As for the density: 4.1 g/cm3. The raw formation energy comes out at -113 kJ/mol of atoms.

Lattice parameters (Å, degrees): 4.1345 4.1345 32.8336 90.00 90.00 120.00
Space group R-3m (No. 166, hexagonal axes)
Inequivalent atoms, fractional coordinates:
Rb (0.0000, 0.0000, 0.0000) (multiplicity 3)
Gd (0.0000, 0.0000, 0.5000) (multiplicity 3)
Br (0.0000, 0.0000, 0.1120) (multiplicity 6)

---

This record from Alexandria via LeMat-Bulk describes crystalline RbGdBr3 at its relaxed geometry. The functional is PBE.

Computed properties:
The total energy comes out at -5.6385 eV/atom. As for the density: 4.2 g/cm3. The raw formation energy comes out at -157 kJ/mol of atoms.

Lattice parameters (Å, degrees): 5.775 5.775 5.775 90.00 90.00 90.00
Space group Pm-3m (No. 221)
Inequivalent atoms, fractional coordinates:
Rb (0.000, 0.000, 0.000) (multiplicity 1)
Gd (0.500, 0.500, 0.500) (multiplicity 1)
Br (0.000, 0.500, 0.500) (multiplicity 3)

---

This record from Alexandria via LeMat-Bulk describes crystalline GdSBr at its relaxed geometry. The functional is PBE.

Computed properties:
The total energy comes out at -8.6204 eV/atom. As for the density: 5.5 g/cm3. The excess energy over the best structure of this formula in the dataset is 0.0 kJ/mol of atoms. The raw formation energy comes out at -192 kJ/mol of atoms.

Lattice parameters (Å, degrees): 6.940 6.962 6.875 90.00 100.27 90.00
Space group P2_1/c (No. 14)
Inequivalent atoms, fractional coordinates:
Gd (0.179, 0.036, 0.292) (multiplicity 4)
S (0.053, 0.741, 0.509) (multiplicity 4)
Br (0.422, 0.128, 0.700) (multiplicity 4)

---

Among the records above, which one has the lowest raw formation energy?
GdSBr

---

Which of these has the lowest raw formation energy?
GdSBr

---

raw formation energy of number 1 (PrGdBr2)?
-105 kJ/mol of atoms